# SrHo2RuO8, optimized geometry, DFT GGA-PBE
# - magnetization (μB/cell) = 1.15
# - E (eV per atom) = -7.128
# - E_form (uncorrected) (eV/atom) = -2.146
# - DOS at the Fermi energy (states/eV/f.u.) = 3.6
data_SrHo2RuO8
_chemical_formula_sum 'Sr1 Ho2 Ru1 O8'
_cell_length_a 5.1098
_cell_length_b 4.3266
_cell_length_c 6.9860
_cell_angle_alpha 73.55
_cell_angle_beta 89.08
_cell_angle_gamma 88.02
_symmetry_space_group_name_H-M 'P 1'
_symmetry_Int_Tables_number 1
loop_
_symmetry_equiv_pos_as_xyz
'x,y,z'
loop_
_atom_site_label
_atom_site_type_symbol
_atom_site_fract_x
_atom_site_fract_y
_atom_site_fract_z
O1 O 0.3103 0.1689 0.0948
O2 O 0.6897 0.8311 0.9052
O3 O 0.2194 0.7748 0.8720
O4 O 0.7806 0.2252 0.1280
O5 O 0.4967 0.2385 0.5067
O6 O 0.5033 0.7615 0.4933
O7 O 0.0220 0.6493 0.2491
O8 O 0.9780 0.3507 0.7509
Ho1 Ho 0.5192 0.3921 0.7854
Ho2 Ho 0.4808 0.6079 0.2146
Sr1 Sr 0.0000 0.0000 0.5000
Ru1 Ru 0.0000 0.0000 0.0000

# Sr4HoRu3O12, optimized geometry, DFT GGA-PBE
# - magnetization (μB/cell) = 7.40
# - E (eV per atom) = -6.977
# - E_form (uncorrected) (eV/atom) = -2.046
# - DOS at the Fermi energy (states/eV/f.u.) = 7.5
data_Sr4HoRu3O12
_chemical_formula_sum 'Sr4 Ho1 Ru3 O12'
_cell_length_a 7.0518
_cell_length_b 7.0518
_cell_length_c 7.0518
_cell_angle_alpha 109.47
_cell_angle_beta 109.47
_cell_angle_gamma 109.47
_symmetry_space_group_name_H-M 'P 1'
_symmetry_Int_Tables_number 1
loop_
_symmetry_equiv_pos_as_xyz
'x,y,z'
loop_
_atom_site_label
_atom_site_type_symbol
_atom_site_fract_x
_atom_site_fract_y
_atom_site_fract_z
Sr1 Sr 0.0000 0.5000 0.0000
Sr2 Sr 0.5000 0.5000 0.5000
Sr3 Sr 0.0000 0.0000 0.5000
Sr4 Sr 0.5000 0.0000 0.0000
O1 O 0.2629 0.2629 0.0000
O2 O 0.7371 0.0000 0.7371
O3 O 0.7500 0.2500 0.5000
O4 O 0.2500 0.7500 0.5000
O5 O 0.5000 0.2500 0.7500
O6 O 0.0000 0.2629 0.2629
O7 O 0.7500 0.5000 0.2500
O8 O 0.5000 0.7500 0.2500
O9 O 0.0000 0.7371 0.7371
O10 O 0.2629 0.0000 0.2629
O11 O 0.2500 0.5000 0.7500
O12 O 0.7371 0.7371 0.0000
Ho1 Ho 0.0000 0.0000 0.0000
Ru1 Ru 0.5000 0.5000 0.0000
Ru2 Ru 0.0000 0.5000 0.5000
Ru3 Ru 0.5000 0.0000 0.5000